# Sm2Ho8In3, relaxed, DFT PBE
# Energy relative to the elements in meV/atom: 110
# Total energy in eV/atom: -4.0655
data_Sm2Ho8In3
_chemical_formula_sum 'Sm6 Ho24 In9'
_cell_length_a 6.3916
_cell_length_b 6.3916
_cell_length_c 34.9070
_cell_angle_alpha 90.00
_cell_angle_beta 90.00
_cell_angle_gamma 120.00
_space_group_name_H-M_alt 'R -3 m'
_space_group_IT_number 166
_space_group_name_Hall '-R 3 2"'
loop_
_atom_site_label
_atom_site_type_symbol
_atom_site_fract_x
_atom_site_fract_y
_atom_site_fract_z
Sm1 Sm 0.0000 0.0000 0.1373
Ho1 Ho 0.0000 0.0000 0.2268
Ho2 Ho 0.0009 0.5005 0.7197
In1 In 0.0000 0.0000 0.3120
In2 In 0.0000 0.0000 0.5000